First-principles (PBE) data for an optimized crystal structure of Mg3Tl, as listed in Alexandria via LeMat-Bulk.

Calculated values
Total magnetic moment = 0.00 μB/f.u.
N(E_F) = 1.7 states/eV/f.u.
Energy of formation = -0.022 eV/atom

Lattice parameters (Å, degrees): 4.265 3.402 7.371 62.31 90.00 90.00
Element x y z (fractional)
1 Tl 0.500 0.250 0.250
2 Mg 0.000 0.009 0.994
3 Mg 0.500 0.750 0.750
4 Mg 0.000 0.491 0.506

***

First-principles (PBE) data for an optimized crystal structure of MgTl3, as listed in Alexandria via LeMat-Bulk.

Calculated values
Total magnetic moment = 0.00 μB/f.u.
N(E_F) = 3.1 states/eV/f.u.
Energy of formation = 0.042 eV/atom

Lattice parameters (Å, degrees): 6.138 6.138 6.138 90.00 90.00 90.00
Element x y z (fractional)
1 Mg 0.000 0.000 0.000
2 Mg 0.500 0.500 0.500
3 Tl 0.750 0.500 0.000
4 Tl 0.250 0.500 0.000
5 Tl 0.000 0.750 0.500
6 Tl 0.000 0.250 0.500
7 Tl 0.500 0.000 0.250
8 Tl 0.500 0.000 0.750

***

First-principles (PBE) data for an optimized crystal structure of MgTl2, as listed in Alexandria via LeMat-Bulk.

Calculated values
Total magnetic moment = 0.00 μB/f.u.
N(E_F) = 1.0 states/eV/f.u.
Energy of formation = 0.007 eV/atom
Energy above the most stable polymorph in this dataset = 0.07 eV/f.u.

Lattice parameters (Å, degrees): 7.918 7.918 4.807 90.00 90.00 147.38
Element x y z (fractional)
1 Mg 0.081 0.919 0.250
2 Mg 0.919 0.081 0.750
3 Tl 0.423 0.577 0.250
4 Tl 0.577 0.423 0.750
5 Tl 0.752 0.248 0.250
6 Tl 0.248 0.752 0.750

***

First-principles (PBE) data for an optimized crystal structure of Mg3Tl8, as listed in Alexandria via LeMat-Bulk.

Calculated values
Total magnetic moment = 0.00 μB/f.u.
N(E_F) = 3.7 states/eV/f.u.
Energy of formation = 0.012 eV/atom

Lattice parameters (Å, degrees): 5.657 5.657 14.310 64.09 64.10 49.52
Element x y z (fractional)
1 Mg 0.281 0.281 0.171
2 Mg 0.719 0.719 0.829
3 Mg 0.000 0.000 0.000
4 Tl 0.187 0.187 0.447
5 Tl 0.358 0.358 0.918
6 Tl 0.642 0.642 0.082
7 Tl 0.813 0.813 0.553
8 Tl 0.558 0.558 0.350
9 Tl 0.077 0.077 0.748
10 Tl 0.923 0.923 0.252
11 Tl 0.442 0.442 0.650

***

First-principles (PBE) data for an optimized crystal structure of Mg3Tl, as listed in Alexandria via LeMat-Bulk.

Calculated values
Total magnetic moment = 0.00 μB/f.u.
N(E_F) = 1.4 states/eV/f.u.
Energy of formation = -0.019 eV/atom

Lattice parameters (Å, degrees): 3.352 5.404 10.648 80.00 89.99 90.01
Element x y z (fractional)
1 Mg 0.088 0.208 0.526
2 Mg 0.589 0.438 0.275
3 Mg 0.090 0.368 0.023
4 Mg 0.091 0.787 0.774
5 Mg 0.088 0.949 0.275
6 Mg 0.590 0.286 0.774
7 Tl 0.591 0.707 0.521
8 Tl 0.591 0.866 0.029

***

First-principles (PBE) data for an optimized crystal structure of Mg3Tl, as listed in Alexandria via LeMat-Bulk.

Calculated values
Total magnetic moment = 0.00 μB/f.u.
N(E_F) = 1.6 states/eV/f.u.
Energy of formation = -0.015 eV/atom

Lattice parameters (Å, degrees): 5.519 5.519 3.319 90.00 90.00 109.38
Element x y z (fractional)
1 Tl 0.000 0.000 0.000
2 Mg 0.000 0.500 0.500
3 Mg 0.500 0.000 0.500
4 Mg 0.500 0.500 0.000

***

First-principles (PBE) data for an optimized crystal structure of Mg5Tl7, as listed in Alexandria via LeMat-Bulk.

Calculated values
Total magnetic moment = 0.00 μB/f.u.
N(E_F) = 4.7 states/eV/f.u.
Energy of formation = 0.007 eV/atom

Lattice parameters (Å, degrees): 3.377 7.407 13.219 96.29 90.00 103.18
Element x y z (fractional)
1 Mg 0.169 0.339 0.438
2 Mg 0.831 0.661 0.562
3 Mg 0.368 0.737 0.143
4 Mg 0.632 0.263 0.857
5 Mg 0.000 0.000 0.000
6 Tl 0.190 0.380 0.674
7 Tl 0.810 0.620 0.326
8 Tl 0.039 0.078 0.248
9 Tl 0.961 0.922 0.752
10 Tl 0.679 0.358 0.092
11 Tl 0.500 0.000 0.500
12 Tl 0.321 0.642 0.908

***

First-principles (PBE) data for an optimized crystal structure of Mg3Tl, as listed in Alexandria via LeMat-Bulk.

Calculated values
Total magnetic moment = 0.00 μB/f.u.
N(E_F) = 1.5 states/eV/f.u.
Energy of formation = -0.032 eV/atom

Lattice parameters (Å, degrees): 4.523 4.523 4.523 90.00 90.00 90.00
Element x y z (fractional)
1 Tl 0.000 0.000 0.000
2 Mg 0.500 0.500 0.000
3 Mg 0.500 0.000 0.500
4 Mg 0.000 0.500 0.500

***

First-principles (PBE) data for an optimized crystal structure of MgTl3, as listed in Alexandria via LeMat-Bulk.

Calculated values
Total magnetic moment = 0.00 μB/f.u.
N(E_F) = 2.3 states/eV/f.u.
Energy of formation = 0.028 eV/atom

Lattice parameters (Å, degrees): 4.692 4.692 6.071 112.73 112.73 90.00
Element x y z (fractional)
1 Tl 0.500 0.500 0.000
2 Tl 0.250 0.750 0.500
3 Tl 0.750 0.250 0.500
4 Mg 0.000 0.000 0.000

***

First-principles (PBE) data for an optimized crystal structure of Mg17Tl12, as listed in Alexandria via LeMat-Bulk.

Calculated values
Total magnetic moment = 0.00 μB/f.u.
N(E_F) = 10.7 states/eV/f.u.
Energy of formation = 0.037 eV/atom

Lattice parameters (Å, degrees): 9.838 9.838 9.838 109.47 109.47 109.47
Element x y z (fractional)
1 Mg 0.692 0.000 0.411
2 Mg 0.411 0.000 0.692
3 Mg 0.589 0.280 0.589
4 Mg 0.308 0.720 0.308
5 Mg 0.000 0.692 0.411
6 Mg 0.000 0.411 0.692
7 Mg 0.720 0.308 0.308
8 Mg 0.280 0.589 0.589
9 Mg 0.308 0.308 0.720
10 Mg 0.589 0.589 0.280
11 Mg 0.692 0.411 0.000
12 Mg 0.411 0.692 0.000
13 Mg 0.000 0.000 0.671
14 Mg 0.671 0.000 0.000
15 Mg 0.329 0.329 0.329
16 Mg 0.000 0.671 0.000
17 Mg 0.000 0.000 0.000
18 Tl 0.199 0.000 0.393
19 Tl 0.393 0.000 0.199
20 Tl 0.607 0.806 0.607
21 Tl 0.801 0.194 0.801
22 Tl 0.000 0.199 0.393
23 Tl 0.000 0.393 0.199
24 Tl 0.194 0.801 0.801
25 Tl 0.806 0.607 0.607
26 Tl 0.801 0.801 0.194
27 Tl 0.607 0.607 0.806
28 Tl 0.199 0.393 0.000
29 Tl 0.393 0.199 0.000

***

First-principles (PBE) data for an optimized crystal structure of MgTl2, as listed in Alexandria via LeMat-Bulk.

Calculated values
Total magnetic moment = 0.00 μB/f.u.
N(E_F) = 1.6 states/eV/f.u.
Energy of formation = 0.015 eV/atom
Energy above the most stable polymorph in this dataset = 0.09 eV/f.u.

Lattice parameters (Å, degrees): 4.851 6.544 10.251 90.00 90.00 90.00
Element x y z (fractional)
1 Mg 0.250 0.655 0.400
2 Mg 0.750 0.845 0.900
3 Mg 0.250 0.155 0.100
4 Mg 0.750 0.345 0.600
5 Tl 0.250 0.082 0.765
6 Tl 0.750 0.418 0.265
7 Tl 0.250 0.582 0.735
8 Tl 0.750 0.918 0.235
9 Tl 0.250 0.156 0.434
10 Tl 0.750 0.344 0.934
11 Tl 0.250 0.656 0.066
12 Tl 0.750 0.844 0.566

***

First-principles (PBE) data for an optimized crystal structure of Mg4Tl3, as listed in Alexandria via LeMat-Bulk.

Calculated values
Total magnetic moment = 0.00 μB/f.u.
N(E_F) = 2.3 states/eV/f.u.
Energy of formation = -0.005 eV/atom
Energy above the most stable polymorph in this dataset = 0.00 eV/f.u.

Lattice parameters (Å, degrees): 13.502 13.502 13.502 164.42 164.42 22.10
Element x y z (fractional)
1 Mg 0.865 0.865 0.000
2 Mg 0.135 0.135 0.000
3 Mg 0.567 0.567 0.000
4 Mg 0.433 0.433 0.000
5 Tl 0.000 0.000 0.000
6 Tl 0.706 0.706 0.000
7 Tl 0.294 0.294 0.000